[1]
! AcPmBiSe GGA-PBE relaxed; values from VASP
&SYSTEM
  ibrav = 0, nat = 4, ntyp = 4
/
ATOMIC_SPECIES
Ac 227.00 Ac.upf
Bi 208.98 Bi.upf
Se 78.96 Se.upf
Pm 145.00 Pm.upf
CELL_PARAMETERS angstrom
5.563 0.000 0.000
2.782 4.818 0.000
2.782 1.606 4.542
ATOMIC_POSITIONS angstrom
Ac 5.563 3.212 2.271
Bi 2.782 1.606 1.136
Se 8.345 4.818 3.407
Pm 0.000 0.000 0.000
! Symmetry   No. 216
! Excess energy over the best structure of this formula in the dataset   122 meV per atom

[2]
! CaPO3 GGA-PBE relaxed; values from VASP
&SYSTEM
  ibrav = 0, nat = 20, ntyp = 3
/
ATOMIC_SPECIES
Ca 40.08 Ca.upf
P 30.97 P.upf
O 16.00 O.upf
CELL_PARAMETERS angstrom
5.978 0.000 -0.446
0.000 5.490 0.000
-0.923 0.000 9.814
ATOMIC_POSITIONS angstrom
Ca 5.657 3.004 1.396
Ca 2.848 0.259 2.842
Ca -0.602 2.486 7.972
Ca 2.207 5.231 6.526
P 2.441 3.135 0.639
P 0.086 0.390 4.045
P 2.614 2.355 8.729
P 4.969 5.100 5.323
O 0.004 4.154 6.458
O 1.600 1.409 8.039
O 5.051 1.336 2.910
O 3.454 4.081 1.329
O 4.529 0.748 6.277
O 3.054 3.493 7.776
O 0.526 4.741 3.092
O 2.001 1.997 1.593
O 3.687 4.458 4.746
O 3.895 1.713 9.306
O 1.367 1.031 4.622
O 1.160 3.776 0.062
! Symmetry   No. 14

Number 1: raw total energy -5.181 eV per atom, size of the total moment 0.14 μB per atom, formation energy without anion corrections -1.125 eV per atom. Number 2: raw total energy -7.111 eV per atom, size of the total moment 0.00 μB per atom, formation energy without anion corrections -2.654 eV per atom.